[1]
Material: CsCe4Pt3S12
Method: DFT, PBE-GGA
State: optimized geometry

abc: 8.637 8.637 8.637
angles: 109.47 109.47 109.47
Element x y z (fractional)
Cs: 0.000 0.000 0.000
Ce: 0.000 0.000 0.500
Ce: 0.000 0.500 0.000
Ce: 0.500 0.000 0.000
Ce: 0.500 0.500 0.500
Pt: 0.000 0.500 0.500
Pt: 0.500 0.000 0.500
Pt: 0.500 0.500 0.000
S: 0.162 0.491 0.329
S: 0.162 0.833 0.671
S: 0.167 0.329 0.838
S: 0.329 0.162 0.491
S: 0.329 0.838 0.167
S: 0.491 0.329 0.162
S: 0.509 0.671 0.838
S: 0.671 0.162 0.833
S: 0.671 0.838 0.509
S: 0.833 0.671 0.162
S: 0.838 0.167 0.329
S: 0.838 0.509 0.671

Total magnetization: 0.00 μB per formula unit
ρ: 5.570 g cm⁻³
E_form (uncorrected): -107 kJ/mol of atoms
Symmetry: No. 204

=====

[2]
Material: NdNp3Tl4S8
Method: DFT, PBE-GGA
State: optimized geometry

abc: 8.866 8.866 8.866
angles: 55.06 55.06 55.06
Element x y z (fractional)
Nd: 0.000 0.000 0.000
Np: 0.000 0.500 0.500
Np: 0.500 0.000 0.500
Np: 0.500 0.500 0.000
Tl: 0.000 0.000 0.500
Tl: 0.000 0.500 0.000
Tl: 0.500 0.000 0.000
Tl: 0.500 0.500 0.500
S: 0.237 0.237 0.725
S: 0.237 0.725 0.237
S: 0.270 0.270 0.270
S: 0.275 0.763 0.763
S: 0.725 0.237 0.237
S: 0.730 0.730 0.730
S: 0.763 0.275 0.763
S: 0.763 0.763 0.275

Total magnetization: 12.00 μB per formula unit
ρ: 7.345 g cm⁻³
E_form (uncorrected): -109 kJ/mol of atoms
Symmetry: No. 166

=====

What is the total magnetization in the second record?
12.00 μB per formula unit

=====

total magnetization of number 1 (CsCe4Pt3S12)?
0.00 μB per formula unit

=====

E_form (uncorrected) of number 2 (NdNp3Tl4S8)?
-109 kJ/mol of atoms

=====

What is the formula in the second record?
NdNp3Tl4S8